# NdCo2P2 | Alexandria via LeMat-Bulk | meta-GGA SCAN | PBEsol geometry
data_NdCo2P2
_chemical_formula_sum 'Nd2 Co4 P4'
_cell_length_a 3.844
_cell_length_b 3.844
_cell_length_c 9.602
_cell_angle_alpha 90.00
_cell_angle_beta 90.00
_cell_angle_gamma 90.00
_space_group_name_H-M_alt 'P 1'
_space_group_IT_number 1
loop_
_space_group_symop_operation_xyz
'x,y,z'
loop_
_atom_site_label
_atom_site_fract_x
_atom_site_fract_y
_atom_site_fract_z
Nd1 0.000 0.000 0.000
Nd2 0.500 0.500 0.500
Co1 0.000 0.500 0.250
Co2 0.000 0.500 0.750
Co3 0.500 0.000 0.250
Co4 0.500 0.000 0.750
P1 0.000 0.000 0.367
P2 0.000 0.000 0.633
P3 0.500 0.500 0.133
P4 0.500 0.500 0.867
# density of states at the Fermi level = 3.52 states/eV per cell
# total DFT energy (no corrections) = -20.7850 eV/atom
# formation energy = -476 kJ/mol of formula units
# magnetization = 1.7 μB/f.u.

# Nd12Co6Pb | Alexandria via LeMat-Bulk | meta-GGA SCAN | PBEsol geometry
data_Nd12Co6Pb
_chemical_formula_sum 'Nd12 Co6 Pb1'
_cell_length_a 8.527
_cell_length_b 8.527
_cell_length_c 8.527
_cell_angle_alpha 109.47
_cell_angle_beta 109.47
_cell_angle_gamma 109.47
_space_group_name_H-M_alt 'P 1'
_space_group_IT_number 1
loop_
_space_group_symop_operation_xyz
'x,y,z'
loop_
_atom_site_label
_atom_site_fract_x
_atom_site_fract_y
_atom_site_fract_z
Nd1 0.113 0.807 0.306
Nd2 0.193 0.306 0.499
Nd3 0.193 0.694 0.887
Nd4 0.306 0.113 0.807
Nd5 0.306 0.499 0.193
Nd6 0.499 0.193 0.306
Nd7 0.501 0.807 0.694
Nd8 0.694 0.501 0.807
Nd9 0.694 0.887 0.193
Nd10 0.807 0.306 0.113
Nd11 0.807 0.694 0.501
Nd12 0.887 0.193 0.694
Co1 0.111 0.611 0.500
Co2 0.389 0.500 0.889
Co3 0.500 0.111 0.611
Co4 0.500 0.889 0.389
Co5 0.611 0.500 0.111
Co6 0.889 0.389 0.500
Pb1 0.000 0.000 0.000
# density of states at the Fermi level = 7.75 states/eV per cell
# total DFT energy (no corrections) = -37.0946 eV/atom
# formation energy = -213 kJ/mol of formula units
# magnetization = 0.0 μB/f.u.

# Nd2CoSb4 | Alexandria via LeMat-Bulk | meta-GGA SCAN | PBEsol geometry
data_Nd2CoSb4
_chemical_formula_sum 'Nd2 Co1 Sb4'
_cell_length_a 4.330
_cell_length_b 4.330
_cell_length_c 9.524
_cell_angle_alpha 90.00
_cell_angle_beta 90.00
_cell_angle_gamma 90.00
_space_group_name_H-M_alt 'P 1'
_space_group_IT_number 1
loop_
_space_group_symop_operation_xyz
'x,y,z'
loop_
_atom_site_label
_atom_site_fract_x
_atom_site_fract_y
_atom_site_fract_z
Nd1 0.000 0.500 0.236
Nd2 0.500 0.000 0.764
Co1 0.000 0.000 0.000
Sb1 0.000 0.000 0.500
Sb2 0.000 0.500 0.879
Sb3 0.500 0.000 0.121
Sb4 0.500 0.500 0.500
# density of states at the Fermi level = 3.43 states/eV per cell
# total DFT energy (no corrections) = -36.9928 eV/atom
# formation energy from raw total energies = -17.914 kcal/mol of atoms
# magnetization = 1.1 μB/f.u.

# NdCoSb2 | Alexandria via LeMat-Bulk | meta-GGA SCAN | PBEsol geometry
data_NdCoSb2
_chemical_formula_sum 'Nd2 Co2 Sb4'
_cell_length_a 4.311
_cell_length_b 4.311
_cell_length_c 9.686
_cell_angle_alpha 90.00
_cell_angle_beta 90.00
_cell_angle_gamma 90.00
_space_group_name_H-M_alt 'P 1'
_space_group_IT_number 1
loop_
_space_group_symop_operation_xyz
'x,y,z'
loop_
_atom_site_label
_atom_site_fract_x
_atom_site_fract_y
_atom_site_fract_z
Nd1 0.250 0.250 0.241
Nd2 0.750 0.750 0.759
Co1 0.250 0.750 0.000
Co2 0.750 0.250 0.000
Sb1 0.250 0.250 0.866
Sb2 0.250 0.750 0.500
Sb3 0.750 0.250 0.500
Sb4 0.750 0.750 0.134
# density of states at the Fermi level = 3.84 states/eV per cell
# total DFT energy (no corrections) = -34.5377 eV/atom
# formation energy from raw total energies = -15.813 kcal/mol of atoms
# magnetization = 1.2 μB/f.u.

# NdCo9Si4 | Alexandria via LeMat-Bulk | meta-GGA SCAN | PBEsol geometry
data_NdCo9Si4
_chemical_formula_sum 'Nd2 Co18 Si8'
_cell_length_a 7.810
_cell_length_b 7.810
_cell_length_c 7.810
_cell_angle_alpha 121.38
_cell_angle_beta 121.38
_cell_angle_gamma 87.62
_space_group_name_H-M_alt 'P 1'
_space_group_IT_number 1
loop_
_space_group_symop_operation_xyz
'x,y,z'
loop_
_atom_site_label
_atom_site_fract_x
_atom_site_fract_y
_atom_site_fract_z
Nd1 0.250 0.250 0.000
Nd2 0.750 0.750 0.000
Co1 0.000 0.500 0.500
Co2 0.052 0.552 0.244
Co3 0.071 0.799 0.870
Co4 0.192 0.948 0.500
Co5 0.201 0.071 0.271
Co6 0.299 0.571 0.870
Co7 0.308 0.808 0.756
Co8 0.429 0.299 0.729
Co9 0.448 0.692 0.500
Co10 0.500 0.000 0.500
Co11 0.552 0.308 0.500
Co12 0.571 0.701 0.271
Co13 0.692 0.192 0.244
Co14 0.701 0.429 0.130
Co15 0.799 0.929 0.729
Co16 0.808 0.052 0.500
Co17 0.929 0.201 0.130
Co18 0.948 0.448 0.756
Si1 0.049 0.209 0.500
Si2 0.209 0.709 0.160
Si3 0.291 0.451 0.500
Si4 0.451 0.951 0.160
Si5 0.549 0.049 0.840
Si6 0.709 0.549 0.500
Si7 0.791 0.291 0.840
Si8 0.951 0.791 0.500
# density of states at the Fermi level = 17.30 states/eV per cell
# total DFT energy (no corrections) = -17.5024 eV/atom
# formation energy from raw total energies = -9.307 kcal/mol of atoms
# magnetization = 7.8 μB/f.u.

# NdCoSi3 | Alexandria via LeMat-Bulk | meta-GGA SCAN | PBEsol geometry
data_NdCoSi3
_chemical_formula_sum 'Nd2 Co2 Si6'
_cell_length_a 4.088
_cell_length_b 4.088
_cell_length_c 9.522
_cell_angle_alpha 90.00
_cell_angle_beta 90.00
_cell_angle_gamma 90.00
_space_group_name_H-M_alt 'P 1'
_space_group_IT_number 1
loop_
_space_group_symop_operation_xyz
'x,y,z'
loop_
_atom_site_label
_atom_site_fract_x
_atom_site_fract_y
_atom_site_fract_z
Nd1 0.000 0.000 0.000
Nd2 0.500 0.500 0.500
Co1 0.000 0.000 0.343
Co2 0.500 0.500 0.843
Si1 0.000 0.000 0.577
Si2 0.000 0.500 0.244
Si3 0.000 0.500 0.744
Si4 0.500 0.000 0.244
Si5 0.500 0.000 0.744
Si6 0.500 0.500 0.077
# density of states at the Fermi level = 3.02 states/eV per cell
# total DFT energy (no corrections) = -18.8077 eV/atom
# formation energy from raw total energies = -14.319 kcal/mol of atoms
# magnetization = 0.0 μB/f.u.

# Nd3Co8Sn4 | Alexandria via LeMat-Bulk | meta-GGA SCAN | PBEsol geometry
data_Nd3Co8Sn4
_chemical_formula_sum 'Nd6 Co16 Sn8'
_cell_length_a 8.859
_cell_length_b 8.859
_cell_length_c 7.449
_cell_angle_alpha 90.00
_cell_angle_beta 90.00
_cell_angle_gamma 120.00
_space_group_name_H-M_alt 'P 1'
_space_group_IT_number 1
loop_
_space_group_symop_operation_xyz
'x,y,z'
loop_
_atom_site_label
_atom_site_fract_x
_atom_site_fract_y
_atom_site_fract_z
Nd1 0.059 0.529 0.000
Nd2 0.471 0.529 0.000
Nd3 0.471 0.941 0.000
Nd4 0.529 0.059 0.500
Nd5 0.529 0.471 0.500
Nd6 0.941 0.471 0.500
Co1 0.000 0.000 0.276
Co2 0.000 0.000 0.776
Co3 0.095 0.190 0.021
Co4 0.095 0.905 0.021
Co5 0.156 0.313 0.332
Co6 0.156 0.844 0.332
Co7 0.190 0.095 0.521
Co8 0.313 0.156 0.832
Co9 0.333 0.667 0.703
Co10 0.667 0.333 0.203
Co11 0.687 0.844 0.332
Co12 0.810 0.905 0.021
Co13 0.844 0.156 0.832
Co14 0.844 0.687 0.832
Co15 0.905 0.095 0.521
Co16 0.905 0.810 0.521
Sn1 0.169 0.339 0.702
Sn2 0.169 0.831 0.702
Sn3 0.333 0.667 0.337
Sn4 0.339 0.169 0.202
Sn5 0.661 0.831 0.702
Sn6 0.667 0.333 0.837
Sn7 0.831 0.169 0.202
Sn8 0.831 0.661 0.202
# density of states at the Fermi level = 25.53 states/eV per cell
# total DFT energy (no corrections) = -27.7717 eV/atom
# formation energy = -358 kJ/mol of formula units
# magnetization = 10.3 μB/f.u.

# Co3Ni | Alexandria via LeMat-Bulk | meta-GGA SCAN | PBEsol geometry
data_Co3Ni
_chemical_formula_sum 'Co3 Ni1'
_cell_length_a 2.455
_cell_length_b 2.455
_cell_length_c 7.955
_cell_angle_alpha 90.00
_cell_angle_beta 90.00
_cell_angle_gamma 120.00
_space_group_name_H-M_alt 'P 1'
_space_group_IT_number 1
loop_
_space_group_symop_operation_xyz
'x,y,z'
loop_
_atom_site_label
_atom_site_fract_x
_atom_site_fract_y
_atom_site_fract_z
Co1 0.000 0.000 0.000
Co2 0.333 0.667 0.249
Co3 0.333 0.667 0.751
Ni1 0.000 0.000 0.500
# density of states at the Fermi level = 2.91 states/eV per cell
# total DFT energy (no corrections) = -17.0022 eV/atom
# formation energy = 7 kJ/mol of formula units
# magnetization = 6.1 μB/f.u.